First-principles (PBE) data for an optimized crystal structure of PmThInHg, as listed in Alexandria.

Values from the calculation:
Space group ... F-43m, No. 216
Formation enthalpy at 0 K ... -331 meV per atom
Calculated total energy ... -16.5 eV/f.u.

Lattice parameters (Å, degrees): 5.442 5.442 5.442 60.00 60.00 60.00
Sites, in units of the cell vectors:
In  0.250  0.250  0.250
Hg  0.750  0.750  0.750
Pm  0.000  0.000  0.000
Th  0.500  0.500  0.500

First-principles (PBE) data for an optimized crystal structure of PmTiInHg, as listed in Alexandria.

Values from the calculation:
Space group ... F-43m, No. 216
Formation enthalpy at 0 K ... -165 meV per atom
Calculated total energy ... -16.3 eV/f.u.

Lattice parameters (Å, degrees): 5.147 5.147 5.147 60.00 60.00 60.00
Site moments in Bohr magnetons follow the coordinates.
Sites, in units of the cell vectors:
Pm  0.000  0.000  0.000  0.11
Ti  0.500  0.500  0.500  1.38
In  0.750  0.750  0.750  -0.03
Hg  0.250  0.250  0.250  0.01

First-principles (PBE) data for an optimized crystal structure of PmTlInHg, as listed in Alexandria.

Values from the calculation:
Space group ... Pmmm, No. 47
Formation enthalpy at 0 K ... -365 meV per atom
Calculated total energy ... -11.6 eV/f.u.

Lattice parameters (Å, degrees): 4.683 4.706 4.757 90.00 90.00 90.00
Sites, in units of the cell vectors:
In  0.000  0.000  0.000
Tl  0.000  0.500  0.500
Hg  0.500  0.500  0.000
Pm  0.500  0.000  0.500

First-principles (PBE) data for an optimized crystal structure of PmTlInHg, as listed in Alexandria.

Values from the calculation:
Space group ... F-43m, No. 216
Formation enthalpy at 0 K ... -249 meV per atom
Calculated total energy ... -11.2 eV/f.u.

Lattice parameters (Å, degrees): 5.339 5.339 5.339 60.00 60.00 60.00
Sites, in units of the cell vectors:
Pm  0.250  0.250  0.250
Tl  0.500  0.500  0.500
In  0.750  0.750  0.750
Hg  0.000  0.000  0.000

First-principles (PBE) data for an optimized crystal structure of Pm2TmIn3Hg6, as listed in Alexandria.

Values from the calculation:
Space group ... P4/mmm, No. 123
Formation enthalpy at 0 K ... -78 meV per atom
Calculated total energy ... -24.9 eV/f.u.

Lattice parameters (Å, degrees): 4.274 4.274 20.236 90.00 90.00 90.00
Sites, in units of the cell vectors:
In  0.000  0.000  0.718
Tm  0.500  0.500  0.500
Hg  0.500  0.000  0.610
Hg  0.000  0.000  0.138
Hg  0.500  0.000  0.390
Pm  0.500  0.500  0.220
In  0.000  0.000  0.282
Hg  0.000  0.000  0.862
Hg  0.000  0.500  0.610
Pm  0.500  0.500  0.780
In  0.000  0.000  0.000
Hg  0.000  0.500  0.390

First-principles (PBE) data for an optimized crystal structure of PmTm2In2Hg2, as listed in Alexandria.

Values from the calculation:
Space group ... R-3m, No. 166
Formation enthalpy at 0 K ... -283 meV per atom
Calculated total energy ... -21.8 eV/f.u.

Lattice parameters (Å, degrees): 4.946 4.946 9.267 74.52 74.52 60.00
Sites, in units of the cell vectors:
Hg  0.433  0.433  0.702
Pm  0.000  0.000  0.000
In  0.266  0.266  0.202
Tm  0.867  0.867  0.398
Tm  0.133  0.133  0.602
In  0.734  0.734  0.798
Hg  0.567  0.567  0.298

First-principles (PBE) data for an optimized crystal structure of Pm2TmIn2Hg2, as listed in Alexandria.

Values from the calculation:
Space group ... R-3m, No. 166
Formation enthalpy at 0 K ... -279 meV per atom
Calculated total energy ... -22.0 eV/f.u.

Lattice parameters (Å, degrees): 4.902 4.902 9.716 75.39 75.39 60.00
Sites, in units of the cell vectors:
Tm  0.000  0.000  0.000
Pm  0.127  0.127  0.618
In  0.740  0.740  0.779
Pm  0.873  0.873  0.382
Hg  0.614  0.614  0.159
In  0.260  0.260  0.221
Hg  0.386  0.386  0.841

First-principles (PBE) data for an optimized crystal structure of Pm2YIn2Hg2, as listed in Alexandria.

Values from the calculation:
Space group ... R-3m, No. 166
Formation enthalpy at 0 K ... -284 meV per atom
Calculated total energy ... -24.0 eV/f.u.

Lattice parameters (Å, degrees): 4.953 4.953 9.549 74.97 74.97 60.00
Sites, in units of the cell vectors:
Pm  0.129  0.129  0.613
In  0.730  0.730  0.810
In  0.270  0.270  0.190
Pm  0.871  0.871  0.387
Hg  0.414  0.414  0.757
Y  0.000  0.000  0.000
Hg  0.586  0.586  0.243